# 1
Material: Zn2AgTe
Method: DFT, PBEsol
State: optimized geometry

* uncorrected formation energy: 4.684 kcal/mol of atoms
* SG: Immm (71)
* E above lowest polymorph: 27 meV per atom

Lattice parameters (Å, degrees): 3.9633 4.6059 5.1375 116.63 112.69 90.00
Fractional positions:
Te (0.0000, 0.5000, 0.0000)
Zn (0.7589, 0.7589, 0.5177)
Zn (0.2411, 0.2411, 0.4823)
Ag (0.5000, 0.0000, 0.0000)

***

# 2
Material: Zn3CuIr
Method: DFT, PBEsol
State: optimized geometry

* energy of formation: 4.06 eV/f.u.
* SG: Pm-3m (221)

Lattice parameters (Å, degrees): 4.2966 4.2966 4.2966 90.00 90.00 90.00
Fractional positions:
Zn (0.0000, 0.0000, 0.5000)
Zn (0.5000, 0.0000, 0.0000)
Zn (0.0000, 0.5000, 0.0000)
Ir (0.5000, 0.5000, 0.5000)
Cu (0.0000, 0.0000, 0.0000)

***

# 3
Material: GeTe2N
Method: DFT, PBEsol
State: optimized geometry

* uncorrected formation energy: 17.053 kcal/mol of atoms
* SG: I-42d (122)

Lattice parameters (Å, degrees): 5.6619 5.6619 7.4421 112.36 112.36 90.00
Fractional positions:
Ge (0.0000, 0.0000, 0.0000)
Ge (0.2500, 0.7500, 0.5000)
Te (0.4756, 0.8750, 0.2500)
Te (0.7744, 0.3750, 0.2500)
Te (0.6250, 0.5244, 0.7500)
Te (0.1250, 0.2256, 0.7500)
N (0.7500, 0.2500, 0.5000)
N (0.5000, 0.5000, 0.0000)

***

# 4
Material: AgAsPtSe2
Method: DFT, PBEsol
State: optimized geometry

* uncorrected formation energy: 28.083 kcal/mol of atoms
* SG: P4/mmm (123)

Lattice parameters (Å, degrees): 4.8039 4.8764 4.8764 90.00 90.00 90.00
Fractional positions:
As (0.5000, 0.0000, 0.0000)
Se (0.0000, 0.0000, 0.5000)
Se (0.0000, 0.5000, 0.0000)
Pt (0.5000, 0.5000, 0.5000)
Ag (0.0000, 0.0000, 0.0000)

***

# 5
Material: BeSb2Mo2
Method: DFT, PBEsol
State: optimized geometry

* uncorrected formation energy: 15.495 kcal/mol of atoms
* SG: I4/mmm (139)

Lattice parameters (Å, degrees): 3.6004 3.6004 8.2391 102.62 102.62 90.00
Fractional positions:
Mo (0.7500, 0.2500, 0.5000)
Mo (0.2500, 0.7500, 0.5000)
Be (0.0000, 0.0000, 0.0000)
Sb (0.3912, 0.3912, 0.7825)
Sb (0.6088, 0.6088, 0.2175)

***

# 6
Material: LiMgCd2
Method: DFT, PBEsol
State: optimized geometry

* energy of formation: -0.85 eV/f.u.
* SG: P4/mmm (123)

Lattice parameters (Å, degrees): 3.3036 3.3036 6.8647 90.00 90.00 90.00
Fractional positions:
Cd (0.0000, 0.0000, 0.7747)
Cd (0.0000, 0.0000, 0.2253)
Mg (0.5000, 0.5000, 0.5000)
Li (0.5000, 0.5000, 0.0000)

***

Number 1: DOS(E_F) 0.46 states/eV/atom, E_tot -0.16884 Ry/atom. Number 2: DOS(E_F) 0.47 states/eV/atom, E_tot -0.21815 Ry/atom. Number 3: DOS(E_F) 0.57 states/eV/atom, E_tot -0.32266 Ry/atom. Number 4: DOS(E_F) 1.28 states/eV/atom, E_tot -0.24979 Ry/atom. Number 5: DOS(E_F) 0.57 states/eV/atom, E_tot -0.48937 Ry/atom. Number 6: DOS(E_F) 0.31 states/eV/atom, E_tot -0.12724 Ry/atom.